Density functional theory data (PBE-GGA) for crystalline TbGaO at its relaxed geometry.

Calculated values
* final energy: -5.428 eV per atom
* DOS(E_F): 4.4 states/eV/cell
* formation energy without anion corrections: -1.223 eV per atom
* M_tot: 0.2 μB/f.u.

Unit cell a=3.4039 b=3.4039 c=13.6050 alpha=90.00 beta=90.00 gamma=120.00
Last column: nearest neighbours and their distance in Å.
Space group P3m1 (No. 156)
Symmetry-distinct sites (fractional):
Tb1 0.0000 0.0000 0.0000 (multiplicity 1)  4 Ga 3.11-3.13, 6 Tb 3.40
Tb2 0.0000 0.0000 0.3709 (multiplicity 1)  3 O 2.14
Ga1 0.0000 0.0000 0.7696 (multiplicity 1)  3 O 2.05
Ga2 0.6667 0.3333 0.1770 (multiplicity 1)  6 Tb 3.11-3.29, 6 Ga 3.40, 1 O 3.48
O1 0.6667 0.3333 0.4325 (multiplicity 1)  3 Tb 2.14
O2 0.6667 0.3333 0.7266 (multiplicity 1)  3 Ga 2.05

Density functional theory data (PBE-GGA) for crystalline Ni3HgPd at its relaxed geometry.

Calculated values
* formation energy from the elements: 5.52 eV per formula unit
* final energy: -3.465 eV per atom
* DOS(E_F): 11.4 states/eV/cell
* offset from the most stable computed form: 0.0 kJ/mol of formula units
* M_tot: 2.3 μB/f.u.

Unit cell a=4.5912 b=4.5912 c=4.5912 alpha=90.00 beta=90.00 gamma=90.00
Last column: nearest neighbours and their distance in Å.
Space group Pm-3m (No. 221)
Symmetry-distinct sites (fractional):
Ni1 0.0000 0.0000 0.5000 (multiplicity 3)  2 Pd 2.30
Hg1 0.5000 0.5000 0.5000 (multiplicity 1)  12 Ni 3.25
Pd1 0.0000 0.0000 0.0000 (multiplicity 1)  6 Ni 2.30

Density functional theory data (PBE-GGA) for crystalline Ac2AlRh at its relaxed geometry.

Calculated values
* formation energy from the elements: 1.20 eV per formula unit
* final energy: -4.528 eV per atom
* DOS(E_F): 13.9 states/eV/cell
* M_tot: 0.0 μB/f.u.

Unit cell a=3.7343 b=3.7343 c=31.2439 alpha=90.00 beta=90.00 gamma=120.00
Last column: nearest neighbours and their distance in Å.
Space group R-3m (No. 166, hexagonal axes)
Symmetry-distinct sites (fractional):
Ac1 0.0000 0.0000 0.0852 (multiplicity 6)  1 Rh 2.66
Al1 0.0000 0.0000 0.5000 (multiplicity 3)  6 Ac 3.34, 6 Al 3.73
Rh1 0.0000 0.0000 0.0000 (multiplicity 3)  2 Ac 2.66

Density functional theory data (PBE-GGA) for crystalline MgCrCoS4 at its relaxed geometry.

Calculated values
* final energy: -5.713 eV per atom
* DOS(E_F): 0.5 states/eV/cell
* formation energy without anion corrections: -0.736 eV per atom
* M_tot: 3.0 μB/f.u.

Unit cell a=7.0642 b=7.0670 c=10.0037 alpha=90.00 beta=90.00 gamma=90.00
Last column: nearest neighbours and their distance in Å.
Space group Imma (No. 74)
Symmetry-distinct sites (fractional):
Mg1 0.0000 0.2500 0.1245 (multiplicity 4)  4 S 2.42-2.46
Cr1 0.0000 0.0000 0.5000 (multiplicity 4)  6 S 2.39-2.41
Co1 0.2500 0.2500 0.7500 (multiplicity 4)  6 S 2.30-2.31
S1 0.0000 0.0395 0.7393 (multiplicity 8)  2 Co 2.31, 1 Cr 2.41, 1 Mg 2.46
S2 0.2266 0.2500 0.5206 (multiplicity 8)  1 Co 2.30, 2 Cr 2.39, 1 Mg 2.42

Density functional theory data (PBE-GGA) for crystalline Sr6NiH at its relaxed geometry.

Calculated values
* final energy: -2.484 eV per atom
* DOS(E_F): 5.2 states/eV/cell
* M_tot: 0.0 μB/f.u.

Unit cell a=7.2614 b=7.2659 c=8.0540 alpha=63.19 beta=63.24 gamma=60.04
Last column: nearest neighbours and their distance in Å.
Space group P-1 (No. 2)
Symmetry-distinct sites (fractional):
Sr1 0.0939 0.4034 0.2496 (multiplicity 2)  1 H 2.92, 1 Ni 2.95
Sr2 0.2461 0.9065 0.7511 (multiplicity 2)  1 H 2.92, 1 Ni 2.95
Sr3 0.4049 0.7530 0.2491 (multiplicity 2)  1 H 2.93, 1 Ni 2.95
Ni1 0.5000 0.5000 0.0000 (multiplicity 1)  6 Sr 2.95
H1 0.0000 0.0000 0.5000 (multiplicity 1)  6 Sr 2.92-2.93

Density functional theory data (PBE-GGA) for crystalline Be2TlRuSe at its relaxed geometry.

Calculated values
* final energy: -4.076 eV per atom
* DOS(E_F): 4.4 states/eV/cell
* formation energy without anion corrections: 0.440 eV per atom
* M_tot: 0.0 μB/f.u.

Unit cell a=4.5005 b=4.5005 c=4.7647 alpha=90.00 beta=90.00 gamma=90.00
Last column: nearest neighbours and their distance in Å.
Space group P4/mmm (No. 123)
Symmetry-distinct sites (fractional):
Be1 0.0000 0.5000 0.0000 (multiplicity 2)  2 Ru 2.25
Tl1 0.0000 0.0000 0.5000 (multiplicity 1)  4 Se 3.18, 8 Be 3.28
Ru1 0.5000 0.5000 0.0000 (multiplicity 1)  4 Be 2.25, 2 Se 2.38
Se1 0.5000 0.5000 0.5000 (multiplicity 1)  2 Ru 2.38